Version 1
DFT (PBE) results for crystalline Rb2HfInBr6 at its relaxed geometry.

Unit cell a=8.241 b=8.241 c=8.241 alpha=60.00 beta=60.00 gamma=60.00
Atoms (fractional coordinates):
Rb  0.250  0.250  0.250
Rb  0.750  0.750  0.750
Hf  0.000  0.000  0.000
In  0.500  0.500  0.500
Br  0.229  0.229  0.771
Br  0.229  0.771  0.229
Br  0.229  0.771  0.771
Br  0.771  0.229  0.229
Br  0.771  0.229  0.771
Br  0.771  0.771  0.229

Properties
SG: Fm-3m (225)
Total moment, Bohr magnetons per cell: 1.00


Version 2
DFT (PBE) results for crystalline Rb2HfInBr6 at its relaxed geometry.

Unit cell a=16.095 b=16.095 c=16.095 alpha=28.29 beta=28.29 gamma=28.29
Atoms (fractional coordinates):
Rb  0.139  0.139  0.139
Rb  0.309  0.309  0.309
Rb  0.691  0.691  0.691
Rb  0.861  0.861  0.861
Hf  0.000  0.000  0.000
Hf  0.500  0.500  0.500
In  0.421  0.421  0.421
In  0.579  0.579  0.579
Br  0.134  0.635  0.635
Br  0.193  0.193  0.715
Br  0.193  0.715  0.193
Br  0.285  0.807  0.807
Br  0.365  0.365  0.866
Br  0.365  0.866  0.365
Br  0.635  0.134  0.635
Br  0.635  0.635  0.134
Br  0.715  0.193  0.193
Br  0.807  0.285  0.807
Br  0.807  0.807  0.285
Br  0.866  0.365  0.365

Properties
SG: R-3m (166)
Total moment, Bohr magnetons per cell: 2.06


The computed energies, referenced to the most stable structure and given in meV per atom, are version 1 19; version 2 0.